ZrAlMo2: optimized geometry, GGA-PBE.

As for the density: 7.421 g/cm3. The formation energy is -0.049 eV per atom. The calculation puts the density of states at the Fermi level at 3.0 states/eV/f.u.

It has space group Cmm2 (No. 35), with a = 3.275 Å, b = 4.688 Å, c = 9.038 Å, α = 90.00°, β = 90.00° and γ = 90.00°. The distinct sites, in fractional coordinates, are Zr at (0.000, 0.000, 0.000), Al at (0.000, 0.500, 0.274), Mo at (0.000, 0.000, 0.509) and Mo at (0.000, 0.500, 0.740).